The following is a GGA-PBE calculation of a relaxed structure of GePbS3, from the Alexandria database.

Cell: 4.7894 4.7894 4.7894 Å, 90.00 90.00 90.00°
Space group Pm-3m (No. 221)
Asymmetric unit:
Ge: 0.0000 0.0000 0.0000 (multiplicity 1)
Pb: 0.5000 0.5000 0.5000 (multiplicity 1)
S: 0.0000 0.0000 0.5000 (multiplicity 3)

## Properties
Crystal system: cubic
E_form (uncorrected): 0.006 eV/atom